(1)
A plane-wave DFT calculation with PBE was carried out for Ba2NaCu3As4 after structural relaxation.

Computed properties:
V (Å³/f.u.): 218.6
Formation energy from the elements (meV per atom): -515
Theoretical density (g/cm3): 6.0
Uncorrected energy (hartree per atom): -0.1514

Cell lengths 4.5625, 4.5625, 10.4999 Å; angles 90.00, 90.00, 90.00 degrees
Fractional positions:
Ba 0.5000 0.0000 0.2454
Ba 0.0000 0.5000 0.7546
Na 0.5000 0.5000 0.5000
Cu 0.0000 0.0000 0.5000
Cu 0.5000 0.0000 0.8878
Cu 0.0000 0.5000 0.1122
As 0.5000 0.5000 0.0000
As 0.0000 0.0000 0.0000
As 0.5000 0.0000 0.6469
As 0.0000 0.5000 0.3531


(2)
A plane-wave DFT calculation with PBE was carried out for K4MnBr after structural relaxation.

Computed properties:
V (Å³/f.u.): 323.3
Formation energy from raw total energies (eV/atom): 0.2723
Theoretical density (g/cm3): 1.5
Uncorrected energy (hartree per atom): -0.0833

Cell lengths 7.7040, 7.7040, 7.7040 Å; angles 60.00, 60.00, 60.00 degrees
Last column: magnetic moment on the atom in μB.
Fractional positions:
K 0.8760 0.3747 0.3747  -0.01
K 0.3747 0.3747 0.8760  -0.01
K 0.3747 0.8760 0.3747  -0.01
K 0.3747 0.3747 0.3747  -0.01
Mn 0.7500 0.7500 0.7500  4.35
Br 0.0000 0.0000 0.0000  0.00


(3)
A plane-wave DFT calculation with PBE was carried out for KGaSi after structural relaxation.

Computed properties:
V (Å³/f.u.): 83.1
Formation energy from raw total energies (eV/atom): -0.1243
Theoretical density (g/cm3): 2.7
Uncorrected energy (hartree per atom): -0.1215

Cell lengths 4.1903, 4.1903, 10.9277 Å; angles 90.00, 90.00, 120.00 degrees
Fractional positions:
K 0.0000 0.0000 0.0000
K 0.0000 0.0000 0.5000
Si 0.3333 0.6667 0.2500
Si 0.6667 0.3333 0.7500
Ga 0.3333 0.6667 0.7500
Ga 0.6667 0.3333 0.2500


(4)
A plane-wave DFT calculation with PBE was carried out for ScCoNiPt after structural relaxation.

Computed properties:
V (Å³/f.u.): 56.8
Formation energy from the elements (meV per atom): -404
Theoretical density (g/cm3): 10.5
Uncorrected energy (hartree per atom): -0.2469

Cell lengths 4.3140, 4.3140, 4.3140 Å; angles 60.00, 60.00, 60.00 degrees
Last column: magnetic moment on the atom in μB.
Fractional positions:
Sc 0.7500 0.7500 0.7500  -0.12
Ni 0.0000 0.0000 0.0000  0.15
Co 0.5000 0.5000 0.5000  1.45
Pt 0.2500 0.2500 0.2500  0.16